Entry 1:
# Gd2ReC2

An optimized crystal structure of Gd2ReC2 (GGA-PBE, OQMD via LeMat-Bulk).

extended XYZ file:
```
20
Lattice="6.617 0.000 0.000 0.000 5.180 0.000 0.000 0.000 9.952" Properties=species:S:1:pos:R:3 pbc="T T T"
Gd 0.195 1.295 2.143
Gd 1.210 1.295 5.515
Gd 2.099 3.885 0.539
Gd 3.114 3.885 7.119
Gd 3.503 1.295 2.833
Gd 4.518 1.295 9.413
Gd 5.407 3.885 4.437
Gd 6.422 3.885 7.809
Re 1.485 1.295 8.594
Re 1.823 3.885 3.618
Re 4.794 1.295 6.334
Re 5.131 3.885 1.358
C 0.273 3.885 2.399
C 1.190 3.885 5.441
C 2.118 1.295 0.465
C 3.036 1.295 7.375
C 3.581 3.885 2.577
C 4.499 3.885 9.487
C 5.427 1.295 4.511
C 6.344 1.295 7.553
```

The volume comes out at 17.06 Å³ per atom.



Entry 2:
# GdScCS

An optimized crystal structure of GdScCS (GGA-PBE, OQMD via LeMat-Bulk).

extended XYZ file:
```
8
Lattice="3.604 0.000 0.000 -1.802 3.121 0.000 0.000 0.000 12.539" Properties=species:S:1:pos:R:3 pbc="T T T"
Gd 0.000 2.081 0.000
Gd 1.802 1.040 6.269
Sc 0.000 2.081 8.869
Sc 1.802 1.040 2.599
C 0.000 0.000 1.366
C 0.000 0.000 7.635
S 0.000 2.081 4.292
S 1.802 1.040 10.561
```

Its energy above the most stable polymorph in this dataset is 0 kJ/mol of formula units. The volume comes out at 17.63 Å³ per atom.



Entry 3:
# GdScCS

An optimized crystal structure of GdScCS (GGA-PBE, OQMD via LeMat-Bulk).

extended XYZ file:
```
8
Lattice="3.604 0.000 0.000 -1.802 3.121 0.000 0.000 0.000 12.535" Properties=species:S:1:pos:R:3 pbc="T T T"
Gd 0.000 2.081 4.867
Gd 1.802 1.040 7.668
Sc 0.000 2.081 1.202
Sc 1.802 1.040 11.333
C 0.000 0.000 0.000
C 0.000 0.000 6.267
S 0.000 2.081 9.617
S 1.802 1.040 2.918
```

Its energy above the most stable polymorph in this dataset is 3 kJ/mol of formula units. The volume comes out at 17.62 Å³ per atom.



Entry 4:
# GdScCS

An optimized crystal structure of GdScCS (GGA-PBE, OQMD via LeMat-Bulk).

extended XYZ file:
```
8
Lattice="3.606 0.000 0.000 -1.803 3.123 0.000 0.000 0.000 12.532" Properties=species:S:1:pos:R:3 pbc="T T T"
Gd 0.000 0.000 1.941
Gd 0.000 0.000 10.591
Sc 0.000 2.082 4.540
Sc 0.000 2.082 7.992
C 1.803 1.041 3.328
C 1.803 1.041 9.204
S 0.000 0.000 6.266
S 0.000 2.082 0.000
```

Its energy above the most stable polymorph in this dataset is 1 kJ/mol of formula units. The volume comes out at 17.64 Å³ per atom.



Entry 5:
# Gd3ScC2S2

An optimized crystal structure of Gd3ScC2S2 (GGA-PBE, OQMD via LeMat-Bulk).

extended XYZ file:
```
8
Lattice="3.680 0.000 0.000 -1.840 3.187 0.000 0.000 0.000 12.813" Properties=species:S:1:pos:R:3 pbc="T T T"
Gd 0.000 0.000 0.000
Gd 0.000 0.000 3.837
Gd 0.000 2.125 10.040
Sc 0.000 2.125 6.409
C 1.840 1.062 5.191
C 1.840 1.062 11.414
S 0.000 0.000 8.097
S 0.000 2.125 1.905
```

The volume comes out at 18.78 Å³ per atom.



Entry 6:
# Gd4C2SeS

An optimized crystal structure of Gd4C2SeS (GGA-PBE, OQMD via LeMat-Bulk).

extended XYZ file:
```
8
Lattice="3.778 0.000 0.000 -1.889 3.272 0.000 0.000 0.000 13.273" Properties=species:S:1:pos:R:3 pbc="T T T"
Gd 0.000 0.000 1.893
Gd 0.000 0.000 11.380
Gd 0.000 2.181 4.620
Gd 0.000 2.181 8.652
C 1.889 1.091 3.260
C 1.889 1.091 10.013
Se 0.000 0.000 6.636
S 0.000 2.181 0.000
```

The volume comes out at 20.51 Å³ per atom.



Total energy for the records above, in order: -8.409 -7.306 -7.298 -7.303 -7.078 -6.741 eV per atom